<P>
Density functional theory data (PBE-GGA) for crystalline ZnCoSeBr2 at its relaxed geometry.

Summary:
Space group ... P4/mmm (123)
Size of the total moment ... 0.01 μB per formula unit

POSCAR file:
```
ZnCoSeBr2
1.0
5.037 0.000 0.000
0.000 5.037 0.000
0.000 0.000 4.545
Zn Co Se Br
1 1 1 2
Direct
0.000 0.000 0.000
0.500 0.500 0.500
0.500 0.500 0.000
0.000 0.500 0.500
0.500 0.000 0.500
```

---

<Q>
Density functional theory data (PBE-GGA) for crystalline ZnCoSeBr2 at its relaxed geometry.

Summary:
Space group ... P4/mmm (123)
Size of the total moment ... 2.99 μB per formula unit

POSCAR file:
```
ZnCoSeBr2
1.0
5.061 0.000 0.000
0.000 5.061 0.000
0.000 0.000 5.088
Zn Co Se Br
1 1 1 2
Direct
0.000 0.000 0.000
0.500 0.500 0.500
0.000 0.000 0.500
0.000 0.500 0.000
0.500 0.000 0.000
```

---

The winner here is <P>, beating the second structure by 0.339 eV/atom.

---

<P>
Density functional theory data (PBE-GGA) for crystalline ZrCoSeBr2 at its relaxed geometry.

Summary:
Space group ... P4/mmm (123)
Size of the total moment ... 0.01 μB per formula unit

POSCAR file:
```
ZrCoSeBr2
1.0
4.699 0.000 0.000
0.000 4.699 0.000
0.000 0.000 4.816
Zr Co Se Br
1 1 1 2
Direct
0.000 0.000 0.000
0.500 0.500 0.500
0.500 0.500 0.000
0.000 0.500 0.500
0.500 0.000 0.500
```

---

<Q>
Density functional theory data (PBE-GGA) for crystalline ZrCoSeBr2 at its relaxed geometry.

Summary:
Space group ... P4/mmm (123)
Size of the total moment ... 3.35 μB per formula unit

POSCAR file:
```
ZrCoSeBr2
1.0
5.374 0.000 0.000
0.000 5.374 0.000
0.000 0.000 5.202
Zr Co Se Br
1 1 1 2
Direct
0.000 0.000 0.000
0.500 0.500 0.500
0.000 0.000 0.500
0.000 0.500 0.000
0.500 0.000 0.000
```

---

The winner here is <Q>, beating the second structure by 0.119 eV/atom.

---

<P>
Density functional theory data (PBE-GGA) for crystalline Co2SiBr at its relaxed geometry.

Summary:
Space group ... Pmmm (47)
Size of the total moment ... 0.00 μB per formula unit

POSCAR file:
```
Co2SiBr
1.0
2.842 0.000 0.000
0.000 2.917 0.000
0.000 0.000 6.743
Co Si Br
2 1 1
Direct
0.000 0.000 0.186
0.000 0.000 0.814
0.500 0.500 0.000
0.500 0.000 0.500
```

---

<Q>
Density functional theory data (PBE-GGA) for crystalline Co2SiBr at its relaxed geometry.

Summary:
Space group ... P4/mmm (123)
Size of the total moment ... 1.87 μB per formula unit

POSCAR file:
```
Co2SiBr
1.0
4.290 0.000 0.000
0.000 4.290 0.000
0.000 0.000 2.923
Co Si Br
2 1 1
Direct
0.000 0.500 0.000
0.500 0.000 0.000
0.000 0.000 0.500
0.500 0.500 0.500
```

---

The winner here is <P>, beating the second structure by 0.497 eV/atom.

---

<P>
Density functional theory data (PBE-GGA) for crystalline Co2SiBr at its relaxed geometry.

Summary:
Space group ... Fm-3m (225)
Size of the total moment ... 1.00 μB per formula unit

POSCAR file:
```
Co2SiBr
1.0
0.000 2.988 2.988
2.988 0.000 2.988
2.988 2.988 0.000
Co Si Br
2 1 1
Direct
0.250 0.250 0.250
0.750 0.750 0.750
0.000 0.000 0.000
0.500 0.500 0.500
```

---

<Q>
Density functional theory data (PBE-GGA) for crystalline Co2SiBr at its relaxed geometry.

Summary:
Space group ... Pm (6)
Size of the total moment ... 0.86 μB per formula unit

POSCAR file:
```
Co2SiBr
1.0
3.702 0.000 0.000
0.000 3.713 0.000
-0.015 0.000 5.757
Co Si Br
2 1 1
Direct
0.000 0.000 0.000
0.500 0.500 0.002
0.501 0.000 0.211
0.999 0.500 0.742
```

---

<R>
Density functional theory data (PBE-GGA) for crystalline Co2SiBr at its relaxed geometry.

Summary:
Space group ... Pmm2 (25)
Size of the total moment ... 0.00 μB per formula unit

POSCAR file:
```
Co2SiBr
1.0
2.967 0.000 0.000
0.000 3.421 0.000
0.000 0.000 6.071
Co Si Br
2 1 1
Direct
0.000 0.000 0.000
0.500 0.500 0.259
0.000 0.000 0.369
0.500 0.500 0.858
```

---

The winner here is <Q>, beating the second structure by 0.080 eV/atom.

---

<P>
Density functional theory data (PBE-GGA) for crystalline Co2SiBr at its relaxed geometry.

Summary:
Space group ... P4/mmm (123)
Size of the total moment ... 0.00 μB per formula unit

POSCAR file:
```
Co2SiBr
1.0
2.860 0.000 0.000
0.000 2.860 0.000
0.000 0.000 6.707
Co Si Br
2 1 1
Direct
0.000 0.000 0.190
0.000 0.000 0.810
0.500 0.500 0.000
0.500 0.500 0.500
```

---

<Q>
Density functional theory data (PBE-GGA) for crystalline Co2SiBr at its relaxed geometry.

Summary:
Space group ... I-4m2 (119)
Size of the total moment ... 0.00 μB per formula unit

POSCAR file:
```
Co2SiBr
1.0
-1.725 1.725 4.539
1.725 -1.725 4.539
1.725 1.725 -4.539
Co Si Br
2 1 1
Direct
0.000 0.000 0.000
0.750 0.250 0.500
0.250 0.750 0.500
0.500 0.500 0.000
```

---

The winner here is <P>, beating the second structure by 0.416 eV/atom.

---

<P>
Density functional theory data (PBE-GGA) for crystalline Co2SiBr at its relaxed geometry.

Summary:
Space group ... R-3m (166)
Size of the total moment ... 1.11 μB per formula unit

POSCAR file:
```
Co2SiBr
1.0
1.472 0.850 7.342
-1.472 0.850 7.342
0.000 -1.699 7.342
Co Si Br
2 1 1
Direct
0.241 0.241 0.241
0.759 0.759 0.759
0.500 0.500 0.500
0.000 0.000 0.000
```

---

<Q>
Density functional theory data (PBE-GGA) for crystalline Co2SiBr at its relaxed geometry.

Summary:
Space group ... Imm2 (44)
Size of the total moment ... 1.44 μB per formula unit

POSCAR file:
```
Co2SiBr
1.0
-1.489 1.689 5.983
1.489 -1.689 5.983
1.489 1.689 -5.983
Co Si Br
2 1 1
Direct
0.000 0.000 0.000
0.822 0.322 0.500
0.375 0.875 0.500
0.627 0.627 0.000
```

---

The winner here is <Q>, beating the second structure by 0.126 eV/atom.

---

<P>
Density functional theory data (PBE-GGA) for crystalline Co2SiBr at its relaxed geometry.

Summary:
Space group ... C2/m (12)
Size of the total moment ... 0.94 μB per formula unit

POSCAR file:
```
Co2SiBr
1.0
3.065 -1.770 0.000
3.065 1.770 0.000
-2.052 0.000 5.681
Co Si Br
2 1 1
Direct
0.221 0.221 0.162
0.779 0.779 0.838
0.500 0.500 0.000
0.000 0.000 0.500
```

---

<Q>
Density functional theory data (PBE-GGA) for crystalline Co2SiBr at its relaxed geometry.

Summary:
Space group ... Cm (8)
Size of the total moment ... 1.60 μB per formula unit

POSCAR file:
```
Co2SiBr
1.0
5.914 -1.679 0.000
5.914 1.679 0.000
-0.011 0.000 3.051
Co Si Br
2 1 1
Direct
0.000 0.000 0.000
0.175 0.175 0.502
0.545 0.545 0.501
0.797 0.797 0.999
```

---

The winner here is <Q>, beating the second structure by 0.031 eV/atom.

---

<P>
Density functional theory data (PBE-GGA) for crystalline Co2SiBr at its relaxed geometry.

Summary:
Space group ... C2/m (12)
Size of the total moment ... 2.30 μB per formula unit

POSCAR file:
```
Co2SiBr
1.0
2.876 -3.904 0.000
2.876 3.904 0.000
-1.671 0.000 2.616
Co Si Br
2 1 1
Direct
0.000 0.500 0.000
0.500 0.000 0.000
0.000 0.000 0.000
0.500 0.500 0.000
```

---

<Q>
Density functional theory data (PBE-GGA) for crystalline Co2SiBr at its relaxed geometry.

Summary:
Space group ... Pmmm (47)
Size of the total moment ... 1.73 μB per formula unit

POSCAR file:
```
Co2SiBr
1.0
2.843 0.000 0.000
0.000 3.843 0.000
0.000 0.000 5.498
Co Si Br
2 1 1
Direct
0.000 0.000 0.000
0.500 0.000 0.500
0.000 0.500 0.500
0.500 0.500 0.000
```

---

The winner here is <Q>, beating the second structure by 0.067 eV/atom.